1.
The following is a DFT calculation (GGA-PBE) of a relaxed Al3Re10 crystal.

Values from the calculation:
Relative energy among the computed polymorphs in kJ/mol of atoms: 2.61
Calculated density in Mg/m³: 16.0
Total magnetic moment in Bohr magnetons per cell: 0.003
Final energy in eV for the cell shown: -133.884
V in Å³ per atom: 15.514

a b c (Å): 9.297 9.297 9.297
angles (deg): 32.10 32.10 32.10
Positions (direct):
Al (0.000, 0.000, 0.000)
Al (0.350, 0.350, 0.350)
Al (0.650, 0.650, 0.650)
Re (0.583, 0.089, 0.089)
Re (0.089, 0.583, 0.089)
Re (0.168, 0.168, 0.168)
Re (0.911, 0.911, 0.417)
Re (0.453, 0.453, 0.453)
Re (0.547, 0.547, 0.547)
Re (0.089, 0.089, 0.583)
Re (0.832, 0.832, 0.832)
Re (0.911, 0.417, 0.911)
Re (0.417, 0.911, 0.911)

2.
The following is a DFT calculation (GGA-PBE) of a relaxed Al2Re11 crystal.

Values from the calculation:
Relative energy among the computed polymorphs in kJ/mol of atoms: 2.32
Calculated density in Mg/m³: 17.2
Total magnetic moment in Bohr magnetons per cell: 0.006
Final energy in eV for the cell shown: -142.478
V in Å³ per atom: 15.614

a b c (Å): 9.365 9.365 9.365
angles (deg): 31.83 31.83 31.83
Positions (direct):
Al (0.349, 0.349, 0.349)
Al (0.651, 0.651, 0.651)
Re (0.000, 0.000, 0.000)
Re (0.580, 0.090, 0.090)
Re (0.090, 0.580, 0.090)
Re (0.162, 0.162, 0.162)
Re (0.910, 0.910, 0.420)
Re (0.453, 0.453, 0.453)
Re (0.547, 0.547, 0.547)
Re (0.090, 0.090, 0.580)
Re (0.838, 0.838, 0.838)
Re (0.910, 0.420, 0.910)
Re (0.420, 0.910, 0.910)

3.
The following is a DFT calculation (GGA-PBE) of a relaxed Al11Re2 crystal.

Values from the calculation:
Relative energy among the computed polymorphs in kJ/mol of atoms: 0.00
Calculated density in Mg/m³: 5.5
Total magnetic moment in Bohr magnetons per cell: 0.008
Final energy in eV for the cell shown: -65.350
V in Å³ per atom: 15.679

a b c (Å): 9.702 9.702 9.702
angles (deg): 30.13 30.13 30.13
Positions (direct):
Al (0.000, 0.000, 0.000)
Al (0.584, 0.088, 0.088)
Al (0.088, 0.584, 0.088)
Al (0.166, 0.166, 0.166)
Al (0.349, 0.349, 0.349)
Al (0.912, 0.912, 0.416)
Al (0.088, 0.088, 0.584)
Al (0.651, 0.651, 0.651)
Al (0.834, 0.834, 0.834)
Al (0.912, 0.416, 0.912)
Al (0.416, 0.912, 0.912)
Re (0.453, 0.453, 0.453)
Re (0.547, 0.547, 0.547)

4.
The following is a DFT calculation (GGA-PBE) of a relaxed Al17Re12 crystal.

Values from the calculation:
Relative energy among the computed polymorphs in kJ/mol of atoms: 0.00
Calculated density in Mg/m³: 9.9
Total magnetic moment in Bohr magnetons per cell: 0.013
Final energy in eV for the cell shown: -215.654
V in Å³ per atom: 15.616

a b c (Å): 8.379 8.379 8.379
angles (deg): 109.47 109.47 109.47
Positions (direct):
Al (0.000, 0.000, 0.000)
Al (0.650, 0.000, 0.000)
Al (0.680, 0.401, 0.000)
Al (0.000, 0.650, 0.000)
Al (0.401, 0.680, 0.000)
Al (0.599, 0.599, 0.279)
Al (0.721, 0.320, 0.320)
Al (0.320, 0.721, 0.320)
Al (0.350, 0.350, 0.350)
Al (0.680, 0.000, 0.401)
Al (0.000, 0.680, 0.401)
Al (0.599, 0.279, 0.599)
Al (0.279, 0.599, 0.599)
Al (0.000, 0.000, 0.650)
Al (0.401, 0.000, 0.680)
Al (0.000, 0.401, 0.680)
Al (0.320, 0.320, 0.721)
Re (0.368, 0.191, 0.000)
Re (0.191, 0.368, 0.000)
Re (0.809, 0.809, 0.176)
Re (0.368, 0.000, 0.191)
Re (0.000, 0.368, 0.191)
Re (0.191, 0.000, 0.368)
Re (0.000, 0.191, 0.368)
Re (0.824, 0.632, 0.632)
Re (0.632, 0.824, 0.632)
Re (0.809, 0.176, 0.809)
Re (0.176, 0.809, 0.809)
Re (0.632, 0.632, 0.824)

5.
The following is a DFT calculation (GGA-PBE) of a relaxed Al7Re8 crystal.

Values from the calculation:
Relative energy among the computed polymorphs in kJ/mol of atoms: 7.07
Calculated density in Mg/m³: 12.3
Total magnetic moment in Bohr magnetons per cell: 0.007
Final energy in eV for the cell shown: -250.404
V in Å³ per atom: 15.127

a b c (Å): 9.529 9.529 4.998
angles (deg): 90.00 90.00 90.00
Positions (direct):
Al (0.000, 0.000, 0.000)
Al (0.465, 0.133, 0.000)
Al (0.401, 0.401, 0.000)
Al (0.133, 0.465, 0.000)
Al (0.867, 0.535, 0.000)
Al (0.599, 0.599, 0.000)
Al (0.535, 0.867, 0.000)
Al (0.633, 0.035, 0.500)
Al (0.901, 0.099, 0.500)
Al (0.965, 0.367, 0.500)
Al (0.500, 0.500, 0.500)
Al (0.035, 0.633, 0.500)
Al (0.099, 0.901, 0.500)
Al (0.367, 0.965, 0.500)
Re (0.745, 0.071, 0.000)
Re (0.929, 0.255, 0.000)
Re (0.071, 0.745, 0.000)
Re (0.255, 0.929, 0.000)
Re (0.671, 0.329, 0.249)
Re (0.329, 0.671, 0.249)
Re (0.171, 0.171, 0.251)
Re (0.829, 0.829, 0.251)
Re (0.429, 0.245, 0.500)
Re (0.245, 0.429, 0.500)
Re (0.755, 0.571, 0.500)
Re (0.571, 0.755, 0.500)
Re (0.171, 0.171, 0.749)
Re (0.829, 0.829, 0.749)
Re (0.671, 0.329, 0.751)
Re (0.329, 0.671, 0.751)

6.
The following is a DFT calculation (GGA-PBE) of a relaxed Al12Re17 crystal.

Values from the calculation:
Relative energy among the computed polymorphs in kJ/mol of atoms: 6.05
Calculated density in Mg/m³: 13.3
Total magnetic moment in Bohr magnetons per cell: 0.009
Final energy in eV for the cell shown: -256.925
V in Å³ per atom: 15.071

a b c (Å): 8.280 8.280 8.280
angles (deg): 109.47 109.47 109.47
Positions (direct):
Al (0.685, 0.412, 0.000)
Al (0.412, 0.685, 0.000)
Al (0.588, 0.588, 0.273)
Al (0.727, 0.315, 0.315)
Al (0.315, 0.727, 0.315)
Al (0.685, 0.000, 0.412)
Al (0.000, 0.685, 0.412)
Al (0.588, 0.273, 0.588)
Al (0.273, 0.588, 0.588)
Al (0.412, 0.000, 0.685)
Al (0.000, 0.412, 0.685)
Al (0.315, 0.315, 0.727)
Re (0.000, 0.000, 0.000)
Re (0.646, 0.000, 0.000)
Re (0.375, 0.188, 0.000)
Re (0.188, 0.375, 0.000)
Re (0.000, 0.646, 0.000)
Re (0.375, 0.000, 0.188)
Re (0.000, 0.375, 0.188)
Re (0.812, 0.812, 0.188)
Re (0.354, 0.354, 0.354)
Re (0.188, 0.000, 0.375)
Re (0.000, 0.188, 0.375)
Re (0.812, 0.625, 0.625)
Re (0.625, 0.812, 0.625)
Re (0.000, 0.000, 0.646)
Re (0.625, 0.625, 0.812)
Re (0.812, 0.188, 0.812)
Re (0.188, 0.812, 0.812)